1) Crystalline BaY2Zr2 at its relaxed geometry, computed with PBE.

a = 9.5213 Å, b = 9.5213 Å, c = 3.5510 Å
α = 90.00°, β = 90.00°, γ = 90.00°
Element x y z (fractional)
Zr (0.6085, 0.1085, 0.0000)
Y (0.8225, 0.3225, 0.5000)
Zr (0.3915, 0.8915, 0.0000)
Y (0.3225, 0.1775, 0.5000)
Y (0.6775, 0.8225, 0.5000)
Ba (0.5000, 0.5000, 0.0000)
Zr (0.1085, 0.3915, 0.0000)
Y (0.1775, 0.6775, 0.5000)
Ba (0.0000, 0.0000, 0.0000)
Zr (0.8915, 0.6085, 0.0000)

magnetic moment = 0.00 μB/cell

2) Crystalline BaY2Zr2 at its relaxed geometry, computed with PBE.

a = 9.6174 Å, b = 9.6174 Å, c = 3.4580 Å
α = 90.00°, β = 90.00°, γ = 90.00°
Element x y z (fractional)
Y (0.6239, 0.1239, 0.0000)
Ba (0.5000, 0.5000, 0.0000)
Zr (0.1667, 0.6667, 0.5000)
Zr (0.8333, 0.3333, 0.5000)
Zr (0.3333, 0.1667, 0.5000)
Zr (0.6667, 0.8333, 0.5000)
Y (0.1239, 0.3761, 0.0000)
Ba (0.0000, 0.0000, 0.0000)
Y (0.3761, 0.8761, 0.0000)
Y (0.8761, 0.6239, 0.0000)

magnetic moment = 0.00 μB/cell

It comes down to 1), which is 0.085 eV/atom more stable than the next structure.

1) Crystalline BaYZr at its relaxed geometry, computed with PBE.

a = 5.8159 Å, b = 5.8159 Å, c = 3.3004 Å
α = 90.00°, β = 90.00°, γ = 120.00°
Last column: magnetic moment on the atom in μB.
Element x y z (fractional)
Ba (0.0000, 0.0000, 0.1666)  0.00
Y (0.6667, 0.3333, 0.1666)  0.03
Zr (0.3333, 0.6667, 0.6669)  0.23

magnetic moment = 0.46 μB/cell

2) Crystalline BaYZr at its relaxed geometry, computed with PBE.

a = 5.3430 Å, b = 5.3430 Å, c = 5.3430 Å
α = 60.00°, β = 60.00°, γ = 60.00°
Last column: magnetic moment on the atom in μB.
Element x y z (fractional)
Y (0.0000, 0.0000, 0.0000)  0.14
Zr (0.5000, 0.5000, 0.5000)  0.47
Ba (0.7500, 0.7500, 0.7500)  0.18

magnetic moment = 1.27 μB/cell

3) Crystalline BaYZr at its relaxed geometry, computed with PBE.

a = 3.5731 Å, b = 3.5731 Å, c = 9.0781 Å
α = 90.00°, β = 90.00°, γ = 120.00°
Element x y z (fractional)
Y (0.6667, 0.3333, 0.3694)
Ba (0.0000, 0.0000, 0.9840)
Zr (0.3333, 0.6667, 0.6466)

magnetic moment = 0.00 μB/cell

It comes down to 3), which is 0.151 eV/atom more stable than the next structure.

1) Crystalline BaYZr at its relaxed geometry, computed with PBE.

a = 6.8096 Å, b = 6.8096 Å, c = 6.8096 Å
α = 149.49°, β = 139.47°, γ = 51.57°
Element x y z (fractional)
Y (0.3049, 0.3049, 0.0000)
Zr (0.6899, 0.6899, 0.0000)
Ba (0.0052, 0.0052, 0.0000)

magnetic moment = 0.00 μB/cell

2) Crystalline BaYZr at its relaxed geometry, computed with PBE.

a = 8.7032 Å, b = 8.7033 Å, c = 3.5103 Å
α = 78.36°, β = 78.37°, γ = 23.27°
Element x y z (fractional)
Zr (0.6825, 0.6825, 0.3175)
Ba (0.0078, 0.0078, 0.9922)
Y (0.3097, 0.3097, 0.6903)

magnetic moment = 0.00 μB/cell

It comes down to 2), which is 0.132 eV/atom more stable than the next structure.

1) Crystalline Ba3YZr at its relaxed geometry, computed with PBE.

a = 6.2723 Å, b = 6.2723 Å, c = 6.2723 Å
α = 90.00°, β = 90.00°, γ = 90.00°
Last column: magnetic moment on the atom in μB.
Element x y z (fractional)
Ba (0.0000, 0.0000, 0.5000)  0.05
Y (0.5000, 0.5000, 0.5000)  -0.20
Ba (0.0000, 0.5000, 0.0000)  0.06
Zr (0.0000, 0.0000, 0.0000)  0.51
Ba (0.5000, 0.0000, 0.0000)  0.00

magnetic moment = 0.31 μB/cell

2) Crystalline Ba3YZr at its relaxed geometry, computed with PBE.

a = 6.3153 Å, b = 6.3153 Å, c = 6.3153 Å
α = 90.00°, β = 90.00°, γ = 90.00°
Element x y z (fractional)
Y (0.0000, 0.0000, 0.0000)
Zr (0.5000, 0.5000, 0.5000)
Ba (0.5000, 0.0000, 0.0000)
Ba (0.0000, 0.5000, 0.0000)
Ba (0.0000, 0.0000, 0.5000)

magnetic moment = 0.00 μB/cell

It comes down to 1), which is 0.413 eV/atom more stable than the next structure.